Density functional theory data (PBE) for a relaxed structure of V4Ru5W.

Summary:
Crystal system: tetragonal
Density of states at the Fermi level, states/eV/f.u.: 11.3
SG: P4/mmm, No. 123

Cell and atoms, written as POSCAR:
```
V4Ru5W
1.0
2.941 0.000 0.000
0.000 2.941 0.000
0.000 0.000 16.104
V Ru W
4 5 1
direct
0.000 0.000 0.097 V
0.000 0.000 0.291 V
0.000 0.000 0.709 V
0.000 0.000 0.903 V
0.500 0.500 0.000 Ru
0.500 0.500 0.192 Ru
0.500 0.500 0.382 Ru
0.500 0.500 0.618 Ru
0.500 0.500 0.808 Ru
0.000 0.000 0.500 W
```

Density functional theory data (PBE) for a relaxed structure of V2Ru2W.

Summary:
Energy above the lowest structure with this stoichiometry, meV/atom: 54
Crystal system: tetragonal
Density of states at the Fermi level, states/eV/f.u.: 5.8
SG: P4/mbm, No. 127

Cell and atoms, written as POSCAR:
```
V2Ru2W
1.0
7.195 0.000 0.000
0.000 7.195 0.000
0.000 0.000 2.805
V Ru W
4 4 2
direct
0.164 0.336 0.000 V
0.336 0.836 0.000 V
0.664 0.164 0.000 V
0.836 0.664 0.000 V
0.136 0.636 0.500 Ru
0.364 0.136 0.500 Ru
0.636 0.864 0.500 Ru
0.864 0.364 0.500 Ru
0.000 0.000 0.500 W
0.500 0.500 0.500 W
```

Density functional theory data (PBE) for a relaxed structure of V4RuW.

Summary:
Energy above the lowest structure with this stoichiometry, meV/atom: 819
Crystal system: monoclinic
Density of states at the Fermi level, states/eV/f.u.: 6.7
SG: C2/m, No. 12

Cell and atoms, written as POSCAR:
```
V4RuW
1.0
3.599 -2.075 0.000
3.599 2.075 0.000
-2.387 0.000 6.739
V Ru W
4 1 1
direct
0.123 0.123 0.370 V
0.373 0.373 0.119 V
0.627 0.627 0.881 V
0.877 0.877 0.630 V
0.000 0.000 0.000 Ru
0.500 0.500 0.500 W
```

no.,formation enthalpy at 0 K (meV/atom)
1,-174
2,61
3,596